Entry 1:
# FeW2 | Alexandria via LeMat-Bulk | PBE | optimized geometry
# Uncorrected energy (eV per atom): -10.579
# Spin magnetization (μB/f.u.): 0.000
data_FeW2
_cell_length_a 5.756
_cell_length_b 5.756
_cell_length_c 5.756
_cell_angle_alpha 90.00
_cell_angle_beta 90.00
_cell_angle_gamma 90.00
_symmetry_space_group_name_H-M 'P 1'
_symmetry_Int_Tables_number 1
loop_
_symmetry_equiv_pos_as_xyz
'x,y,z'
loop_
_atom_site_label
_atom_site_fract_x
_atom_site_fract_y
_atom_site_fract_z
Fe1 0.000 0.000 0.000
Fe2 0.500 0.000 0.500
Fe3 0.500 0.500 0.000
Fe4 0.000 0.500 0.500
W1 0.868 0.132 0.632
W2 0.868 0.368 0.132
W3 0.368 0.132 0.868
W4 0.632 0.632 0.632
W5 0.632 0.868 0.132
W6 0.132 0.868 0.368
W7 0.132 0.632 0.868
W8 0.368 0.368 0.368

Entry 2:
# Fe5W | Alexandria via LeMat-Bulk | PBE | optimized geometry
# Uncorrected energy (eV per atom): -9.097
# Spin magnetization (μB/f.u.): 4.642
data_Fe5W
_cell_length_a 3.570
_cell_length_b 3.577
_cell_length_c 5.716
_cell_angle_alpha 108.24
_cell_angle_beta 90.00
_cell_angle_gamma 90.00
_symmetry_space_group_name_H-M 'P 1'
_symmetry_Int_Tables_number 1
loop_
_symmetry_equiv_pos_as_xyz
'x,y,z'
loop_
_atom_site_label
_atom_site_fract_x
_atom_site_fract_y
_atom_site_fract_z
W1 0.000 0.000 0.000
Fe1 0.000 0.329 0.658
Fe2 0.500 0.829 0.658
Fe3 0.500 0.171 0.342
Fe4 0.500 0.500 0.000
Fe5 0.000 0.671 0.342

Entry 3:
# FeW8 | Alexandria via LeMat-Bulk | PBE | optimized geometry
# Uncorrected energy (eV per atom): -12.378
# Spin magnetization (μB/f.u.): 2.370
data_FeW8
_cell_length_a 6.872
_cell_length_b 6.872
_cell_length_c 6.872
_cell_angle_alpha 93.06
_cell_angle_beta 93.06
_cell_angle_gamma 153.30
_symmetry_space_group_name_H-M 'P 1'
_symmetry_Int_Tables_number 1
loop_
_symmetry_equiv_pos_as_xyz
'x,y,z'
loop_
_atom_site_label
_atom_site_fract_x
_atom_site_fract_y
_atom_site_fract_z
Fe1 0.000 0.000 0.000
W1 0.000 0.331 0.331
W2 0.331 0.000 0.331
W3 0.336 0.336 0.672
W4 0.000 0.669 0.669
W5 0.664 0.336 0.000
W6 0.336 0.664 0.000
W7 0.669 0.000 0.669
W8 0.664 0.664 0.328

Entry 4:
# Fe3W | Alexandria via LeMat-Bulk | PBE | optimized geometry
# Uncorrected energy (eV per atom): -9.407
# Spin magnetization (μB/f.u.): 0.262
data_Fe3W
_cell_length_a 5.168
_cell_length_b 5.168
_cell_length_c 4.168
_cell_angle_alpha 90.00
_cell_angle_beta 90.00
_cell_angle_gamma 119.98
_symmetry_space_group_name_H-M 'P 1'
_symmetry_Int_Tables_number 1
loop_
_symmetry_equiv_pos_as_xyz
'x,y,z'
loop_
_atom_site_label
_atom_site_fract_x
_atom_site_fract_y
_atom_site_fract_z
Fe1 0.920 0.598 0.750
Fe2 0.081 0.919 0.250
Fe3 0.919 0.081 0.750
Fe4 0.598 0.920 0.250
Fe5 0.402 0.080 0.750
Fe6 0.080 0.402 0.250
W1 0.599 0.401 0.250
W2 0.401 0.599 0.750

Entry 5:
# Fe3W | Alexandria via LeMat-Bulk | PBE | optimized geometry
# Uncorrected energy (eV per atom): -9.503
# Spin magnetization (μB/f.u.): 6.255
data_Fe3W
_cell_length_a 2.581
_cell_length_b 4.123
_cell_length_c 4.869
_cell_angle_alpha 90.00
_cell_angle_beta 79.39
_cell_angle_gamma 90.00
_symmetry_space_group_name_H-M 'P 1'
_symmetry_Int_Tables_number 1
loop_
_symmetry_equiv_pos_as_xyz
'x,y,z'
loop_
_atom_site_label
_atom_site_fract_x
_atom_site_fract_y
_atom_site_fract_z
Fe1 0.007 0.000 0.009
Fe2 0.493 0.000 0.491
Fe3 0.250 0.500 0.250
W1 0.750 0.500 0.750

Entry 6:
# Fe3W | Alexandria via LeMat-Bulk | PBE | optimized geometry
# Uncorrected energy (eV per atom): -9.532
# Spin magnetization (μB/f.u.): 5.677
data_Fe3W
_cell_length_a 4.073
_cell_length_b 4.809
_cell_length_c 3.013
_cell_angle_alpha 71.75
_cell_angle_beta 90.00
_cell_angle_gamma 115.05
_symmetry_space_group_name_H-M 'P 1'
_symmetry_Int_Tables_number 1
loop_
_symmetry_equiv_pos_as_xyz
'x,y,z'
loop_
_atom_site_label
_atom_site_fract_x
_atom_site_fract_y
_atom_site_fract_z
Fe1 0.496 0.993 0.504
Fe2 0.004 0.007 0.996
Fe3 0.250 0.500 0.250
W1 0.750 0.500 0.750

Entry 7:
# FeW5 | Alexandria via LeMat-Bulk | PBE | optimized geometry
# Uncorrected energy (eV per atom): -11.748
# Spin magnetization (μB/f.u.): 1.712
data_FeW5
_cell_length_a 4.796
_cell_length_b 4.796
_cell_length_c 4.730
_cell_angle_alpha 90.00
_cell_angle_beta 90.00
_cell_angle_gamma 120.00
_symmetry_space_group_name_H-M 'P 1'
_symmetry_Int_Tables_number 1
loop_
_symmetry_equiv_pos_as_xyz
'x,y,z'
loop_
_atom_site_label
_atom_site_fract_x
_atom_site_fract_y
_atom_site_fract_z
W1 0.333 0.667 0.500
W2 0.671 0.000 0.000
W3 0.329 0.329 0.000
W4 0.000 0.671 0.000
W5 0.667 0.333 0.500
Fe1 0.000 0.000 0.500

Entry 8:
# FeW2 | Alexandria via LeMat-Bulk | PBE | optimized geometry
# Uncorrected energy (eV per atom): -11.149
# Spin magnetization (μB/f.u.): 0.011
data_FeW2
_cell_length_a 4.350
_cell_length_b 4.350
_cell_length_c 5.266
_cell_angle_alpha 90.00
_cell_angle_beta 90.00
_cell_angle_gamma 120.00
_symmetry_space_group_name_H-M 'P 1'
_symmetry_Int_Tables_number 1
loop_
_symmetry_equiv_pos_as_xyz
'x,y,z'
loop_
_atom_site_label
_atom_site_fract_x
_atom_site_fract_y
_atom_site_fract_z
W1 0.000 0.000 0.500
W2 0.000 0.000 0.000
W3 0.333 0.667 0.750
W4 0.667 0.333 0.250
Fe1 0.333 0.667 0.250
Fe2 0.667 0.333 0.750

Entry 9:
# FeW2 | Alexandria via LeMat-Bulk | PBE | optimized geometry
# Uncorrected energy (eV per atom): -11.238
# Spin magnetization (μB/f.u.): 1.899
data_FeW2
_cell_length_a 5.313
_cell_length_b 4.323
_cell_length_c 7.684
_cell_angle_alpha 90.00
_cell_angle_beta 90.00
_cell_angle_gamma 90.00
_symmetry_space_group_name_H-M 'P 1'
_symmetry_Int_Tables_number 1
loop_
_symmetry_equiv_pos_as_xyz
'x,y,z'
loop_
_atom_site_label
_atom_site_fract_x
_atom_site_fract_y
_atom_site_fract_z
Fe1 0.824 0.750 0.074
Fe2 0.176 0.250 0.926
Fe3 0.676 0.250 0.574
Fe4 0.324 0.750 0.426
W1 0.177 0.250 0.585
W2 0.980 0.750 0.751
W3 0.677 0.250 0.915
W4 0.520 0.250 0.251
W5 0.020 0.250 0.249
W6 0.480 0.750 0.749
W7 0.323 0.750 0.085
W8 0.823 0.750 0.415

Entry 10:
# Fe8W | Alexandria via LeMat-Bulk | PBE | optimized geometry
# Uncorrected energy (eV per atom): -8.834
# Spin magnetization (μB/f.u.): 7.572
data_Fe8W
_cell_length_a 5.628
_cell_length_b 5.628
_cell_length_c 5.628
_cell_angle_alpha 95.70
_cell_angle_beta 95.70
_cell_angle_gamma 143.27
_symmetry_space_group_name_H-M 'P 1'
_symmetry_Int_Tables_number 1
loop_
_symmetry_equiv_pos_as_xyz
'x,y,z'
loop_
_atom_site_label
_atom_site_fract_x
_atom_site_fract_y
_atom_site_fract_z
Fe1 0.000 0.656 0.656
Fe2 0.326 0.674 0.000
Fe3 0.344 0.000 0.344
Fe4 0.000 0.344 0.344
Fe5 0.656 0.000 0.656
Fe6 0.326 0.326 0.652
Fe7 0.674 0.326 0.000
Fe8 0.674 0.674 0.348
W1 0.000 0.000 0.000

Entry 11:
# FeW2 | Alexandria via LeMat-Bulk | PBE | optimized geometry
# Uncorrected energy (eV per atom): -11.222
# Spin magnetization (μB/f.u.): 0.000
data_FeW2
_cell_length_a 5.375
_cell_length_b 5.375
_cell_length_c 6.249
_cell_angle_alpha 74.60
_cell_angle_beta 74.60
_cell_angle_gamma 29.77
_symmetry_space_group_name_H-M 'P 1'
_symmetry_Int_Tables_number 1
loop_
_symmetry_equiv_pos_as_xyz
'x,y,z'
loop_
_atom_site_label
_atom_site_fract_x
_atom_site_fract_y
_atom_site_fract_z
Fe1 0.017 0.017 0.202
Fe2 0.983 0.983 0.798
W1 0.633 0.633 0.447
W2 0.367 0.367 0.553
W3 0.669 0.669 0.889
W4 0.331 0.331 0.111

Entry 12:
# Fe5W | Alexandria via LeMat-Bulk | PBE | optimized geometry
# Uncorrected energy (eV per atom): -9.108
# Spin magnetization (μB/f.u.): 1.177
data_Fe5W
_cell_length_a 4.413
_cell_length_b 4.413
_cell_length_c 4.038
_cell_angle_alpha 90.00
_cell_angle_beta 90.00
_cell_angle_gamma 120.00
_symmetry_space_group_name_H-M 'P 1'
_symmetry_Int_Tables_number 1
loop_
_symmetry_equiv_pos_as_xyz
'x,y,z'
loop_
_atom_site_label
_atom_site_fract_x
_atom_site_fract_y
_atom_site_fract_z
Fe1 0.667 0.333 0.500
Fe2 0.333 0.667 0.500
Fe3 0.641 0.000 0.000
Fe4 0.359 0.359 0.000
Fe5 0.000 0.641 0.000
W1 0.000 0.000 0.500

Entry 13:
# Fe3W | Alexandria via LeMat-Bulk | PBE | optimized geometry
# Uncorrected energy (eV per atom): -9.515
# Spin magnetization (μB/f.u.): 1.936
data_Fe3W
_cell_length_a 3.618
_cell_length_b 3.618
_cell_length_c 3.618
_cell_angle_alpha 90.00
_cell_angle_beta 90.00
_cell_angle_gamma 90.00
_symmetry_space_group_name_H-M 'P 1'
_symmetry_Int_Tables_number 1
loop_
_symmetry_equiv_pos_as_xyz
'x,y,z'
loop_
_atom_site_label
_atom_site_fract_x
_atom_site_fract_y
_atom_site_fract_z
W1 0.500 0.500 0.000
Fe1 0.500 0.000 0.500
Fe2 0.000 0.500 0.500
Fe3 0.000 0.000 0.000